(1)
ZrMn2Ir2, optimized geometry, DFT GGA-PBE; energy of formation from the pure elements = -263 meV per atom; V = 144.50 Å³ per cell
1.0
7.279 0.000 0.000
0.000 7.279 0.000
0.000 0.000 2.727
Zr Mn Ir
2 4 4
direct
0.000 0.000 0.000
0.500 0.500 0.000
0.116 0.384 0.000
0.384 0.884 0.000
0.616 0.116 0.000
0.884 0.616 0.000
0.176 0.676 0.500
0.324 0.176 0.500
0.676 0.824 0.500
0.824 0.324 0.500


(2)
BaCS2N, optimized geometry, DFT GGA-PBE; E_form (uncorrected) = 12.1 eV per formula unit; V = 214.10 Å³ per cell
1.0
6.227 0.000 0.000
0.000 6.227 0.000
0.000 0.000 5.521
Ba C S N
1 1 2 1
direct
0.000 0.000 0.000
0.500 0.500 0.500
0.000 0.500 0.000
0.500 0.000 0.000
0.000 0.000 0.500


(3)
TcRu2Pb, optimized geometry, DFT GGA-PBE; energy of formation from the pure elements = 615 meV per atom; V = 66.41 Å³ per cell
1.0
4.370 0.000 0.000
0.000 4.370 0.000
0.000 0.000 3.478
Tc Ru Pb
1 2 1
direct
0.000 0.000 0.000
0.000 0.500 0.500
0.500 0.000 0.500
0.500 0.500 0.000


(4)
K2PaHgTe4, optimized geometry, DFT GGA-PBE; E_form (uncorrected) = -6.1 eV per formula unit; V = 297.84 Å³ per cell
1.0
8.334 0.000 0.000
0.000 4.452 0.000
-2.810 0.000 8.028
K Pa Hg Te
2 1 1 4
direct
0.000 0.000 0.000
0.500 0.500 0.000
0.000 0.500 0.500
0.500 0.000 0.500
0.216 0.000 0.718
0.251 0.500 0.311
0.749 0.500 0.689
0.784 0.000 0.282


(5)
LaCdGa2, optimized geometry, DFT GGA-PBE; energy of formation from the pure elements = -400 meV per atom; V = 95.15 Å³ per cell
1.0
4.653 0.000 0.000
0.000 4.653 0.000
0.000 0.000 4.394
La Cd Ga
1 1 2
direct
0.000 0.000 0.000
0.500 0.500 0.000
0.000 0.500 0.500
0.500 0.000 0.500


(6)
Be2CuSi, optimized geometry, DFT GGA-PBE; E_form (uncorrected) = 0.6 eV per formula unit; V = 42.70 Å³ per cell
1.0
-1.737 1.737 3.537
1.737 -1.737 3.537
1.737 1.737 -3.537
Be Cu Si
2 1 1
direct
0.000 0.000 0.000
0.750 0.250 0.500
0.250 0.750 0.500
0.500 0.500 0.000


(7)
YHRh3, optimized geometry, DFT GGA-PBE; final energy = -32.381 eV per cell; V = 70.91 Å³ per cell
1.0
2.881 0.000 0.000
0.000 2.755 4.467
0.000 -2.755 4.467
Y H Rh
1 1 3
direct
0.000 0.000 0.000
0.500 0.699 0.699
0.000 0.002 0.498
0.000 0.498 0.002
0.500 0.490 0.490


(8)
Ac2ZnCu2, optimized geometry, DFT GGA-PBE; energy of formation from the pure elements = -164 meV per atom; V = 258.03 Å³ per cell
1.0
7.891 0.000 0.000
0.000 7.891 0.000
0.000 0.000 4.144
Ac Zn Cu
4 2 4
direct
0.184 0.316 0.000
0.316 0.816 0.000
0.684 0.184 0.000
0.816 0.684 0.000
0.000 0.000 0.500
0.500 0.500 0.500
0.113 0.613 0.500
0.387 0.113 0.500
0.613 0.887 0.500
0.887 0.387 0.500